The following is a DFT calculation (PBE+U) of a geometry-optimized CaPmCr2O8 structure.

a = 6.100 Å, b = 6.100 Å, c = 6.100 Å
α = 105.90°, β = 105.90°, γ = 116.87°
Fractional coordinates of all 12 atoms:
1 O 0.911 0.589 0.678
2 O 0.411 0.089 0.322
3 O 0.333 0.148 0.815
4 O 0.333 0.518 0.185
5 O 0.767 0.089 0.678
6 O 0.852 0.667 0.185
7 O 0.482 0.667 0.815
8 O 0.911 0.233 0.322
9 Cr 0.500 0.500 0.000
10 Cr 0.750 0.250 0.500
11 Ca 0.000 0.000 0.000
12 Pm 0.250 0.750 0.500

Calculated values
final energy: -86.99 eV for the cell shown